Record 1
Below is an optimized crystal structure of AcLaTb2Tm, with properties calculated at the PBE-GGA level.

Values from the calculation:
E   -4.51 eV per atom
Energy relative to the elements   0.047 eV/atom
Total moment   0.0 Bohr magnetons per cell

Cell: 6.4121 5.8898 9.8536 Å, 90.00 108.88 90.00°
Last column: nearest neighbours and their distance in Å.
Space group P2_1/m (No. 11)
Asymmetric unit:
Ac 0.2335 0.2500 0.3041  4 Tm 3.64-3.71, 5 Tb 3.67-3.74, 3 La 3.68-3.76
La 0.0421 0.2500 0.9009  6 Tb 3.61-3.80, 2 La 3.67, 3 Ac 3.68-3.76, 1 Tm 3.76
Tb 0.3690 0.7500 0.9025  4 La 3.61-3.74, 5 Tb 3.62-3.70, 1 Tm 3.73, 2 Ac 3.74
Tb 0.4266 0.2500 0.7007  2 La 3.62-3.80, 4 Tm 3.63-3.78, 3 Tb 3.64-3.70, 3 Ac 3.67-3.70
Tm 0.1652 0.7500 0.5029  2 Tm 3.62, 5 Tb 3.63-3.78, 4 Ac 3.64-3.71, 1 La 3.76

=====

Record 2
Below is an optimized crystal structure of BeW2Se, with properties calculated at the PBE-GGA level.

Values from the calculation:
E   -7.80 eV per atom
Total moment   0.0 Bohr magnetons per cell

Cell: 3.2113 4.5569 8.5281 Å, 90.00 90.00 90.00°
Last column: nearest neighbours and their distance in Å.
Space group Cmm2 (No. 35)
Asymmetric unit:
Be 0.0000 0.0000 0.0000  2 W 2.41
W 0.0000 0.0000 0.5343  6 W 2.71-2.79, 2 Se 2.78
W 0.0000 0.5000 0.7898  2 Be 2.41
Se 0.0000 0.5000 0.2683  2 W 2.78, 4 Se 2.79, 2 Be 2.80

=====

Record 3
Below is an optimized crystal structure of Sr2AcGe2, with properties calculated at the PBE-GGA level.

Values from the calculation:
E   -3.81 eV per atom
Energy relative to the elements   -0.468 eV/atom
Total moment   0.0 Bohr magnetons per cell

Cell: 13.2336 5.1123 11.5238 Å, 90.00 121.54 90.00°
Last column: nearest neighbours and their distance in Å.
Space group C2/m (No. 12)
Asymmetric unit:
Sr 0.0277 0.0000 0.1835  6 Ge 3.40-3.69, 2 Ac 3.80
Sr 0.1883 0.0000 0.5872  3 Ge 3.11-3.33
Ac 0.1962 0.5000 0.8433  4 Ge 3.14-3.24
Ge 0.0529 0.5000 0.4278  1 Ge 2.68
Ge 0.1290 0.5000 0.0763  1 Ge 2.91, 3 Ac 3.24

=====

Record 4
Below is an optimized crystal structure of CaCd3Hg6, with properties calculated at the PBE-GGA level.

Values from the calculation:
E   -0.75 eV per atom
Energy relative to the elements   -0.098 eV/atom
Total moment   0.0 Bohr magnetons per cell

Cell: 6.8534 9.1283 10.6727 Å, 90.00 127.75 90.00°
Last column: nearest neighbours and their distance in Å.
Space group P2_1/c (No. 14)
Asymmetric unit:
Ca 0.0000 0.0000 0.0000  6 Hg 3.21-3.22
Cd 0.3772 0.1310 0.7282  7 Hg 3.05-3.21, 1 Cd 3.25
Cd 0.5000 0.0000 0.5000  4 Hg 2.94-2.98, 2 Cd 3.25
Hg 0.0413 0.1724 0.2775  2 Cd 2.98-3.21, 4 Hg 3.06-3.15, 1 Ca 3.21
Hg 0.1765 0.6640 0.0438  4 Cd 2.94-3.11, 2 Hg 3.06-3.15, 1 Ca 3.22
Hg 0.4756 0.1466 0.0597  4 Cd 3.05-3.31, 4 Hg 3.07-3.36, 1 Ca 3.21

=====

Record 5
Below is an optimized crystal structure of AcLa2Tl9, with properties calculated at the PBE-GGA level.

Values from the calculation:
E   -3.28 eV per atom
Energy relative to the elements   -0.344 eV/atom
Total moment   0.0 Bohr magnetons per cell

Cell: 4.9323 4.9323 14.7916 Å, 90.00 90.00 90.00°
Last column: nearest neighbours and their distance in Å.
Space group P4/mmm (No. 123)
Asymmetric unit:
Ac 0.0000 0.0000 0.0000  12 Tl 3.49-3.54
La 0.0000 0.0000 0.3367  12 Tl 3.45-3.49
Tl 0.0000 0.5000 0.1719  8 Tl 3.45-3.54, 2 La 3.47, 2 Ac 3.54
Tl 0.0000 0.5000 0.5000  4 La 3.45, 8 Tl 3.47-3.49
Tl 0.5000 0.5000 0.0000  4 Ac 3.49, 8 Tl 3.54
Tl 0.5000 0.5000 0.3351  8 Tl 3.45-3.47, 4 La 3.49